[1]
TbPmCO after structural relaxation, computed with PBE.

Unit cell a=3.6075 b=3.6075 c=17.5760 alpha=90.00 beta=90.00 gamma=120.00
Space group R3m (No. 160, hexagonal axes)
One atom of each set of equivalent atoms:
Tb 0.0000 0.0000 0.0000 (multiplicity 3)
Pm 0.0000 0.0000 0.5043 (multiplicity 3)
C 0.0000 0.0000 0.2530 (multiplicity 3)
O 0.0000 0.0000 0.7471 (multiplicity 3)

Calculated values
For the total energy, the calculation gives -0.5505 Ry per atom.


[2]
Cs3PuS4 after structural relaxation, computed with PBE.

Unit cell a=8.3912 b=8.3912 c=9.1627 alpha=90.00 beta=90.00 gamma=90.00
Space group I4/mmm (No. 139)
One atom of each set of equivalent atoms:
Cs 0.0000 0.0000 0.0000 (multiplicity 2)
Cs 0.0000 0.5000 0.2500 (multiplicity 4)
Pu 0.0000 0.0000 0.5000 (multiplicity 2)
S 0.2115 0.2115 0.5000 (multiplicity 8)

Calculated values
For the total energy, the calculation gives -0.3808 Ry per atom.


[3]
BaPmCdGe after structural relaxation, computed with PBE.

Unit cell a=7.8511 b=7.8511 c=7.8511 alpha=90.00 beta=90.00 gamma=90.00
Space group F-43m (No. 216)
One atom of each set of equivalent atoms:
Ba 0.0000 0.0000 0.0000 (multiplicity 4)
Pm 0.0000 0.0000 0.5000 (multiplicity 4)
Cd 0.2500 0.2500 0.7500 (multiplicity 4)
Ge 0.2500 0.2500 0.2500 (multiplicity 4)

Calculated values
For the total energy, the calculation gives -0.2479 Ry per atom. The formation energy is -0.321 eV per atom.


[4]
Na3Sc after structural relaxation, computed with PBE.

Unit cell a=5.0236 b=5.0236 c=5.0236 alpha=90.00 beta=90.00 gamma=90.00
Space group Pm-3m (No. 221)
One atom of each set of equivalent atoms:
Na 0.0000 0.0000 0.5000 (multiplicity 3)
Sc 0.5000 0.5000 0.5000 (multiplicity 1)

Calculated values
For the total energy, the calculation gives -0.1581 Ry per atom. The formation energy is 0.421 eV per atom.


[5]
Li2MgTa after structural relaxation, computed with PBE.

Unit cell a=5.8468 b=9.6702 c=2.6369 alpha=90.00 beta=90.00 gamma=90.00
Space group Cmmm (No. 65)
One atom of each set of equivalent atoms:
Li 0.2500 0.2500 0.0000 (multiplicity 4)
Mg 0.0000 0.0000 0.5000 (multiplicity 2)
Ta 0.0000 0.5000 0.5000 (multiplicity 2)

Calculated values
For the total energy, the calculation gives -0.2858 Ry per atom. The formation energy is 0.431 eV per atom.


[6]
TlZn5 after structural relaxation, computed with PBE.

Unit cell a=7.5831 b=7.5831 c=7.5831 alpha=90.00 beta=90.00 gamma=90.00
Space group F-43m (No. 216)
One atom of each set of equivalent atoms:
Tl 0.0000 0.0000 0.0000 (multiplicity 4)
Zn 0.1240 0.1240 0.6240 (multiplicity 16)
Zn 0.2500 0.2500 0.2500 (multiplicity 4)

Calculated values
For the total energy, the calculation gives -0.0969 Ry per atom. The formation energy is 0.138 eV per atom.


[7]
Sb2TePb after structural relaxation, computed with PBE.

Unit cell a=4.5499 b=4.5499 c=11.6298 alpha=90.00 beta=90.00 gamma=90.00
Space group I4/mmm (No. 139)
One atom of each set of equivalent atoms:
Sb 0.0000 0.5000 0.2500 (multiplicity 4)
Te 0.0000 0.0000 0.0000 (multiplicity 2)
Pb 0.0000 0.0000 0.5000 (multiplicity 2)

Calculated values
For the total energy, the calculation gives -0.2670 Ry per atom. As for the energy relative to the lowest polymorph listed for this composition: 284 meV per atom.


[8]
GdPuGaTc after structural relaxation, computed with PBE.

Unit cell a=7.0033 b=7.0033 c=7.0033 alpha=90.00 beta=90.00 gamma=90.00
Space group F-43m (No. 216)
One atom of each set of equivalent atoms:
Gd 0.0000 0.0000 0.0000 (multiplicity 4)
Pu 0.0000 0.0000 0.5000 (multiplicity 4)
Ga 0.2500 0.2500 0.2500 (multiplicity 4)
Tc 0.2500 0.2500 0.7500 (multiplicity 4)

Calculated values
For the total energy, the calculation gives -0.7737 Ry per atom. The formation energy is -0.075 eV per atom.